Entry 1:
ScTlCrGa2 (GGA-PBE, optimized geometry); calculated volume = 29.4 A^3/atom; calculated formation energy = 1033 meV per atom; magnetic moment = 4.6 μB per cell; symmetry = No. 123
1.0
5.1960 0.0000 0.0000
0.0000 5.4485 0.0000
0.0000 0.0000 5.1960
Tl Sc Cr Ga
1 1 1 2
Direct
0.0000 0.0000 0.0000
0.0000 0.5000 0.0000
0.5000 0.5000 0.5000
0.0000 0.0000 0.5000
0.5000 0.0000 0.0000

=====

Entry 2:
SbTeCl2 (GGA-PBE, optimized geometry); calculated volume = 42.7 A^3/atom; magnetic moment = 0.3 μB per cell; energy relative to the elements, uncorrected = -37.1 kJ per mole of atoms; energy above the lowest structure with this stoichiometry = 0.145 eV per atom; symmetry = No. 8
1.0
7.1516 0.0863 -0.1409
6.2075 3.5524 -0.1409
2.8600 0.7790 6.8069
Te Sb Cl
1 1 2
Direct
0.2467 0.2467 0.2825
0.4160 0.4160 0.4060
0.8218 0.8218 0.6834
0.0156 0.0156 0.1281

=====

Entry 3:
KCdNi (GGA-PBE, optimized geometry); calculated volume = 24.2 A^3/atom; calculated formation energy = 564 meV per atom; magnetic moment = 0.0 μB per cell; energy above the lowest structure with this stoichiometry = 0.283 eV per atom; symmetry = No. 156
1.0
-3.2973 -0.0786 -0.5919
1.8323 -2.7833 -0.3523
-1.2452 -1.7267 7.1657
K Cd Ni
1 1 1
Direct
0.6667 0.3333 0.3621
0.0000 0.0000 0.9391
0.3333 0.6667 0.6988

=====

Entry 4:
CaMg9Ag3 (GGA-PBE, optimized geometry); calculated volume = 22.1 A^3/atom; calculated formation energy = -146 meV per atom; magnetic moment = 0.0 μB per cell; symmetry = No. 12
1.0
5.2374 0.0365 2.1259
2.5640 7.1335 1.0408
-0.0658 0.0183 7.6764
Mg Ag Ca
9 3 1
Direct
0.4883 0.7887 0.2190
0.9963 0.6592 0.3543
0.7074 0.7887 0.7810
0.5117 0.2113 0.7810
0.6493 0.3408 0.3543
0.0037 0.3408 0.6457
0.0000 0.5000 0.0000
0.2926 0.2113 0.2190
0.3507 0.6592 0.6457
0.5000 0.0000 0.5000
0.5000 0.5000 0.0000
0.0000 0.0000 0.5000
0.0000 0.0000 0.0000

=====

Entry 5:
ScCrP2 (GGA-PBE, optimized geometry); calculated volume = 15.8 A^3/atom; calculated formation energy = -472 meV per atom; magnetic moment = 3.4 μB per cell; energy above the lowest structure with this stoichiometry = 0.392 eV per atom; symmetry = No. 119
1.0
-1.3553 5.2319 -0.7702
-5.0377 1.7060 -1.2305
2.6652 -3.2396 3.4936
P Sc Cr
2 1 1
Direct
0.2500 0.7500 0.5000
0.0000 0.0000 0.0000
0.5000 0.5000 0.0000
0.7500 0.2500 0.5000

=====

Entry 6:
Ba2NbVS6 (GGA-PBE, optimized geometry); calculated volume = 23.0 A^3/atom; magnetic moment = 1.6 μB per cell; energy relative to the elements, uncorrected = -134.0 kJ per mole of atoms; symmetry = No. 166
1.0
6.8493 0.0000 0.0000
3.4246 5.9317 0.0000
3.4246 1.9772 11.3143
V S Ba Nb
2 12 4 2
Direct
0.4161 0.4161 0.7518
0.5839 0.5839 0.2482
0.2106 0.2106 0.8746
0.8766 0.3775 0.3684
0.2958 0.7894 0.1254
0.6225 0.1234 0.6316
0.3775 0.8766 0.3684
0.3775 0.3775 0.3684
0.7894 0.2958 0.1254
0.2106 0.7042 0.8746
0.7894 0.7894 0.1254
0.6225 0.6225 0.6316
0.1234 0.6225 0.6316
0.7042 0.2106 0.8746
0.1223 0.1223 0.6330
0.8777 0.8777 0.3670
0.2932 0.2932 0.1204
0.7068 0.7068 0.8796
0.5000 0.5000 0.5000
0.0000 0.0000 0.0000

=====

Entry 7:
BeTlAs2 (GGA-PBE, optimized geometry); calculated volume = 22.0 A^3/atom; calculated formation energy = 635 meV per atom; magnetic moment = 0.0 μB per cell; energy above the lowest structure with this stoichiometry = 0.648 eV per atom; symmetry = No. 65
1.0
-4.0645 1.9188 1.9039
-0.1726 -4.5449 -1.7724
1.0575 -1.5167 3.7861
As Be Tl
2 1 1
Direct
0.5000 0.5000 0.0000
0.0000 0.0000 0.0000
0.5000 0.0000 0.5000
0.0000 0.5000 0.5000

=====

Entry 8:
NaYSn2I8 (GGA-PBE, optimized geometry); calculated volume = 43.2 A^3/atom; magnetic moment = 0.0 μB per cell; energy relative to the elements, uncorrected = -86.3 kJ per mole of atoms; symmetry = No. 10
1.0
7.7282 0.0536 -0.0052
0.0993 7.2399 -0.0076
0.0060 0.0120 9.2585
I Y Sn Na
8 1 2 1
Direct
0.8474 0.2424 0.7609
0.8471 0.2421 0.2390
0.6739 0.7654 0.9999
0.6511 0.7359 0.5000
0.1526 0.7576 0.2391
0.3489 0.2641 0.5000
0.3261 0.2346 0.0001
0.1529 0.7579 0.7610
0.0000 0.0000 0.0000
0.5001 0.5000 0.7463
0.4999 0.5000 0.2537
0.0000 0.0000 0.5000

=====

Entry 9:
MnMo2Os (GGA-PBE, optimized geometry); calculated volume = 14.7 A^3/atom; calculated formation energy = 146 meV per atom; magnetic moment = 2.7 μB per cell; energy above the lowest structure with this stoichiometry = 0.056 eV per atom; symmetry = No. 6
1.0
-1.7914 -2.4474 -3.1566
-1.6416 -1.1484 1.8220
-3.8526 3.2230 -0.3125
Mo Os Mn
2 1 1
Direct
0.5000 0.2259 0.2606
0.0000 0.0132 0.9827
0.0000 0.5335 0.4940
0.5000 0.7274 0.7627

=====

Entry 10:
Li2ScAu (GGA-PBE, optimized geometry); calculated volume = 16.4 A^3/atom; calculated formation energy = -262 meV per atom; magnetic moment = 1.0 μB per cell; energy above the lowest structure with this stoichiometry = 0.099 eV per atom; symmetry = No. 225
1.0
0.3123 -4.4055 0.9764
-3.7495 -2.4381 0.6753
-1.2696 -3.0883 -3.0512
Li Sc Au
2 1 1
Direct
0.2500 0.2500 0.2500
0.7500 0.7500 0.7500
0.0000 0.0000 0.0000
0.5000 0.5000 0.5000

=====

Entry 11:
NaNd3Ti2Sb2O14 (GGA-PBE, optimized geometry); calculated volume = 13.0 A^3/atom; magnetic moment = 0.0 μB per cell; energy relative to the elements, uncorrected = -255.7 kJ per mole of atoms; energy above the lowest structure with this stoichiometry = 0.003 eV per atom; symmetry = No. 12
1.0
7.3654 0.0020 0.0002
3.5664 6.4444 0.0002
3.5713 2.1060 6.0393
O Ti Sb Nd Na
14 2 2 3 1
Direct
0.9312 0.9312 0.8160
0.6735 0.6735 0.5726
0.0688 0.0688 0.1840
0.3265 0.3265 0.4274
0.3720 0.3720 0.8746
0.0605 0.6808 0.1799
0.6774 0.0756 0.5754
0.6808 0.0605 0.1799
0.6280 0.6280 0.1254
0.9244 0.3226 0.4246
0.3226 0.9244 0.4246
0.9395 0.3192 0.8201
0.3192 0.9395 0.8201
0.0756 0.6774 0.5754
0.0000 0.0000 0.5000
0.0000 0.0000 0.0000
0.5000 0.0000 0.5000
0.0000 0.5000 0.5000
0.0000 0.5000 0.0000
0.5000 0.0000 0.0000
0.5000 0.5000 0.5000
0.5000 0.5000 0.0000

=====

Entry 12:
NaSr2TlNi (GGA-PBE, optimized geometry); calculated volume = 34.7 A^3/atom; calculated formation energy = -79 meV per atom; magnetic moment = 0.0 μB per cell; symmetry = No. 123
1.0
-5.5876 -1.6572 -0.3569
0.6514 -3.2338 4.8180
-1.3627 3.9798 2.8554
Na Ni Tl Sr
1 1 1 2
Direct
0.5000 0.5000 0.5000
0.0000 0.0000 0.0000
0.0000 0.0000 0.5000
0.5000 0.0000 0.0000
0.0000 0.5000 0.0000

=====

Entry 13:
Zr2TiPd (GGA-PBE, optimized geometry); calculated volume = 19.4 A^3/atom; calculated formation energy = -337 meV per atom; magnetic moment = 0.0 μB per cell; symmetry = No. 123
1.0
3.3071 0.0000 0.0000
0.0000 3.3071 0.0000
0.0000 0.0000 7.0807
Zr Pd Ti
2 1 1
Direct
0.0000 0.0000 0.7552
0.0000 0.0000 0.2448
0.5000 0.5000 0.0000
0.5000 0.5000 0.5000

=====

Entry 14:
Sc3TlTc (GGA-PBE, optimized geometry); calculated volume = 21.0 A^3/atom; calculated formation energy = -151 meV per atom; magnetic moment = 0.0 μB per cell; energy above the lowest structure with this stoichiometry = 0.000 eV per atom; symmetry = No. 11
1.0
-4.2441 -1.7547 1.1862
1.2373 0.1521 4.6474
-5.4939 7.6827 1.2099
Sc Tc Tl
6 2 2
Direct
0.6376 0.8444 0.4439
0.2700 0.8446 0.1796
0.1411 0.3443 0.4350
0.7736 0.3443 0.1706
0.4570 0.8446 0.8060
0.9541 0.3441 0.8085
0.0543 0.8442 0.6104
0.3569 0.3447 0.0041
0.5457 0.3447 0.6246
0.8653 0.8440 0.9900

=====

Entry 15:
SmY3Ir8 (GGA-PBE, optimized geometry); calculated volume = 18.3 A^3/atom; calculated formation energy = -784 meV per atom; magnetic moment = 0.0 μB per cell; symmetry = No. 160
1.0
5.3793 0.0000 0.0000
2.6896 4.6586 0.0000
2.6896 1.5529 8.7757
Ir Y Sm
8 3 1
Direct
0.1874 0.1874 0.4377
0.4367 0.9373 0.6887
0.4378 0.4378 0.1862
0.4378 0.9381 0.1862
0.9381 0.4378 0.1862
0.6875 0.6875 0.9375
0.9373 0.9373 0.6887
0.9373 0.4367 0.6887
0.3749 0.3749 0.8752
0.0002 0.0002 0.9993
0.4997 0.4997 0.5008
0.8751 0.8751 0.3747

=====

Entry 16:
BeTlGeTe3 (GGA-PBE, optimized geometry); calculated volume = 30.3 A^3/atom; magnetic moment = 0.0 μB per cell; energy relative to the elements, uncorrected = -16.9 kJ per mole of atoms; symmetry = No. 11
1.0
3.9356 0.0000 0.0000
0.0000 9.7041 0.9257
0.0000 -3.7263 9.1556
Te Be Ge Tl
6 2 2 2
Direct
0.2500 0.8088 0.4768
0.2500 0.5344 0.8256
0.7500 0.8819 0.1459
0.2500 0.1181 0.8541
0.7500 0.4656 0.1744
0.7500 0.1912 0.5232
0.7500 0.9277 0.4075
0.2500 0.0723 0.5925
0.2500 0.6579 0.1148
0.7500 0.3421 0.8852
0.7500 0.8141 0.7778
0.2500 0.1859 0.2222

=====

Entry 17:
CoCuBr2 (GGA-PBE, optimized geometry); calculated volume = 23.4 A^3/atom; magnetic moment = 2.0 μB per cell; energy relative to the elements, uncorrected = -3.1 kJ per mole of atoms; energy above the lowest structure with this stoichiometry = 0.000 eV per atom; symmetry = No. 8
1.0
3.8095 -0.2856 -0.0120
2.1525 3.1561 -0.0120
-0.0196 -0.0094 7.3912
Cu Co Br
1 1 2
Direct
0.2923 0.2923 0.4616
0.6243 0.6243 0.2861
0.6268 0.6268 0.6229
0.9565 0.9565 0.1294

=====

Entry 18:
Mg2HIr (GGA-PBE, optimized geometry); calculated volume = 15.0 A^3/atom; magnetic moment = 0.0 μB per cell; energy above the lowest structure with this stoichiometry = 0.013 eV per atom; symmetry = No. 46
1.0
5.0188 0.0004 -2.0827
-1.9700 4.4101 -2.4910
0.0034 0.0018 5.4361
Ir Mg H
2 4 2
Direct
0.8795 0.1809 0.2437
0.8795 0.6810 0.7439
0.6826 0.5921 0.1367
0.9396 0.2011 0.7834
0.3990 0.1605 0.2833
0.3609 0.7701 0.6365
0.0080 0.8892 0.1639
0.0911 0.4725 0.6638

=====

Entry 19:
LuCuHgPd (GGA-PBE, optimized geometry); calculated volume = 18.4 A^3/atom; calculated formation energy = -437 meV per atom; magnetic moment = 0.0 μB per cell; symmetry = No. 216
1.0
-4.2997 -0.0852 1.9083
-1.0991 -3.2919 3.1767
-0.5950 1.1911 4.5125
Lu Cu Pd Hg
1 1 1 1
Direct
0.0000 0.0000 0.0000
0.7500 0.7500 0.7500
0.2500 0.2500 0.2500
0.5000 0.5000 0.5000

=====

Entry 20:
FeTc2As (GGA-PBE, optimized geometry); calculated volume = 14.0 A^3/atom; calculated formation energy = 244 meV per atom; magnetic moment = 2.9 μB per cell; energy above the lowest structure with this stoichiometry = 0.234 eV per atom; symmetry = No. 216
1.0
4.2926 0.0000 0.0000
2.1463 3.7175 0.0000
2.1463 1.2392 3.5049
Tc As Fe
2 1 1
Direct
0.0000 0.0000 0.0000
0.2500 0.2500 0.2500
0.5000 0.5000 0.5000
0.7500 0.7500 0.7500